[1]
PmTmSnPd: optimized geometry, PBE.

The formation energy comes out at -0.71 eV/atom. The crystal system is cubic. As for the total moment: 0.0 μB/cell. The density of states at the Fermi level comes out at 10.47 states/eV per cell.

The structure belongs to space group F-43m (No. 216); the cell edges are 7.346, 7.346 and 7.346 Å and the angles 90.00°, 90.00° and 90.00°. The distinct sites, in fractional coordinates, are Pm at (0.000, 0.000, 0.000), Tm at (0.000, 0.000, 0.500), Sn at (0.250, 0.250, 0.250) and Pd at (0.250, 0.250, 0.750).


[2]
Hf2AgHgH: optimized geometry, PBE.

The crystal system is tetragonal. The energy is -26.76 eV/cell. As for the total moment: 0.0 μB/cell. The density of states at the Fermi level comes out at 4.52 states/eV per cell.

The structure belongs to space group P4/mmm (No. 123); the cell edges are 4.359, 4.359 and 4.347 Å and the angles 90.00°, 90.00° and 90.00°. The distinct sites, in fractional coordinates, are Hf at (0.000, 0.500, 0.000), Ag at (0.000, 0.000, 0.500), Hg at (0.500, 0.500, 0.500) and H at (0.000, 0.000, 0.000).


[3]
Sm2CuHg: optimized geometry, PBE.

The formation energy comes out at -0.30 eV/atom. The crystal system is cubic. As for the total moment: 0.0 μB/cell. The density of states at the Fermi level comes out at 11.11 states/eV per cell.

The structure belongs to space group Fm-3m (No. 225); the cell edges are 7.377, 7.377 and 7.377 Å and the angles 90.00°, 90.00° and 90.00°. The distinct sites, in fractional coordinates, are Sm at (0.250, 0.250, 0.250), Cu at (0.000, 0.000, 0.000) and Hg at (0.000, 0.000, 0.500).


[4]
AlCdW2: optimized geometry, PBE.

The formation energy comes out at 0.78 eV/atom. The crystal system is cubic. As for the total moment: 0.0 μB/cell. The density of states at the Fermi level comes out at 20.62 states/eV per cell.

The structure belongs to space group Fm-3m (No. 225); the cell edges are 6.423, 6.423 and 6.423 Å and the angles 90.00°, 90.00° and 90.00°. The distinct sites, in fractional coordinates, are Al at (0.000, 0.000, 0.000), Cd at (0.000, 0.000, 0.500) and W at (0.250, 0.250, 0.250).


[5]
CsSb2H2: optimized geometry, PBE.

The crystal system is monoclinic. The energy is -32.24 eV/cell. As for the total moment: 0.0 μB/cell. The density of states at the Fermi level comes out at 2.54 states/eV per cell.

The structure belongs to space group Cm (No. 8); the cell edges are 5.353, 13.076 and 5.279 Å and the angles 90.00°, 119.50° and 90.00°. The distinct sites, in fractional coordinates, are Cs at (0.000, 0.000, 0.000), Sb at (0.162, 0.300, 0.333) and H at (0.484, 0.164, 0.965).


[6]
ZnSbMo2: optimized geometry, PBE.

Its uncorrected formation energy is 0.368 eV per atom. The crystal system is monoclinic. As for the total moment: 0.0 μB/cell. The density of states at the Fermi level comes out at 3.54 states/eV per cell.

The structure belongs to space group P2/m (No. 10); the cell edges are 2.929, 4.430 and 5.411 Å and the angles 90.00°, 97.98° and 90.00°. The distinct sites, in fractional coordinates, are Zn at (0.000, 0.000, 0.000), Sb at (0.500, 0.000, 0.500) and Mo at (0.299, 0.500, 0.774).


[7]
CrBr2Cl: optimized geometry, PBE.

Its uncorrected formation energy is -0.202 eV per atom. The crystal system is orthorhombic. As for the total moment: 8.9 μB/cell. The density of states at the Fermi level comes out at 10.23 states/eV per cell.

The structure belongs to space group Cmmm (No. 65); the cell edges are 3.526, 7.385 and 9.898 Å and the angles 90.00°, 90.00° and 90.00°. The distinct sites, in fractional coordinates, are Cr at (0.000, 0.000, 0.000), Br at (0.000, 0.500, 0.175) and Cl at (0.000, 0.000, 0.500).


[8]
RbHAu2Cl: optimized geometry, PBE.

The crystal system is tetragonal. The energy is -7.82 eV/cell. As for the total moment: 0.9 μB/cell. The density of states at the Fermi level comes out at 5.72 states/eV per cell.

The structure belongs to space group P4/mmm (No. 123); the cell edges are 6.456, 6.456 and 6.057 Å and the angles 90.00°, 90.00° and 90.00°. The distinct sites, in fractional coordinates, are Rb at (0.000, 0.000, 0.000), H at (0.500, 0.500, 0.500), Au at (0.000, 0.500, 0.000) and Cl at (0.000, 0.000, 0.500).


[9]
Li4Pu3CrS8: optimized geometry, PBE.

Its uncorrected formation energy is -1.376 eV per atom. The crystal system is trigonal. As for the total moment: 54.0 μB/cell. The density of states at the Fermi level comes out at 71.86 states/eV per cell.

The structure belongs to space group R-3m (No. 166, hexagonal axes); the cell edges are 7.6994, 7.6994 and 18.2866 Å and the angles 90.00°, 90.00° and 120.00°. The distinct sites, in fractional coordinates, are Li at (0.0000, 0.0000, 0.0000), Li at (0.0000, 0.5000, 0.0000), Pu at (0.0000, 0.5000, 0.5000), Cr at (0.0000, 0.0000, 0.5000), S at (0.0000, 0.0000, 0.2516) and S at (0.0201, 0.5101, 0.2476).


[10]
ScGa2Cu2: optimized geometry, PBE.

The formation energy comes out at -0.17 eV/atom. The crystal system is tetragonal. As for the total moment: 1.1 μB/cell. The density of states at the Fermi level comes out at 7.50 states/eV per cell.

The structure belongs to space group P4/mbm (No. 127); the cell edges are 7.419, 7.419 and 2.831 Å and the angles 90.00°, 90.00° and 90.00°. The distinct sites, in fractional coordinates, are Sc at (0.000, 0.000, 0.000), Ga at (0.133, 0.367, 0.000) and Cu at (0.165, 0.665, 0.500).


[11]
MnCuS2: optimized geometry, PBE.

Its uncorrected formation energy is -0.345 eV per atom. The crystal system is triclinic. As for the total moment: 3.2 μB/cell. The density of states at the Fermi level comes out at 3.59 states/eV per cell.

The structure belongs to space group P1 (No. 1); the cell edges are 3.238, 6.084 and 6.672 Å and the angles 77.23°, 75.97° and 74.60°. The distinct sites, in fractional coordinates, are Mn at (0.000, 0.000, 0.000), Mn at (0.416, 0.845, 0.322), Cu at (0.127, 0.174, 0.573), Cu at (0.288, 0.673, 0.748), S at (0.461, 0.244, 0.834), S at (0.630, 0.719, 0.020), S at (0.786, 0.126, 0.302) and S at (0.955, 0.602, 0.488).


[12]
CePr4Se4: optimized geometry, PBE.

Its uncorrected formation energy is -1.568 eV per atom. The crystal system is tetragonal. As for the total moment: 2.5 μB/cell. The density of states at the Fermi level comes out at 23.51 states/eV per cell.

The structure belongs to space group I4/m (No. 87); the cell edges are 9.414, 9.414 and 6.006 Å and the angles 90.00°, 90.00° and 90.00°. The distinct sites, in fractional coordinates, are Ce at (0.000, 0.000, 0.000), Pr at (0.100, 0.701, 0.500) and Se at (0.097, 0.701, 0.000).


> What is the total moment in the third record?

0.0 μB/cell